1.
# PBE La4PrPa3N8, optimized geometry
# E_tot in eV/atom: -9.000
# Formation energy without anion corrections in meV/atom: -1527
data_La4PrPa3N8
_chemical_formula_sum 'La12 Pr3 Pa9 N24'
_space_group_name_H-M_alt 'R -3 m'
_space_group_IT_number 166
_space_group_name_Hall '-R 3 2"'
_cell_length_a 7.2369
_cell_length_b 7.2369
_cell_length_c 17.9891
_cell_angle_alpha 90.00
_cell_angle_beta 90.00
_cell_angle_gamma 120.00
loop_
_atom_site_label
_atom_site_type_symbol
_atom_site_fract_x
_atom_site_fract_y
_atom_site_fract_z
_atom_site_occupancy
La1 La 0.0000 0.0000 0.0000 1
La2 La 0.0000 0.5000 0.0000 1
Pr1 Pr 0.0000 0.0000 0.5000 1
Pa1 Pa 0.0000 0.5000 0.5000 1
N1 N 0.0000 0.0000 0.2342 1
N2 N 0.0247 0.5123 0.7637 1


2.
# PBE Ta2SbRu, optimized geometry
# E_tot in eV/atom: -9.322
# Formation energy without anion corrections in meV/atom: -46
data_Ta2SbRu
_chemical_formula_sum 'Ta2 Sb1 Ru1'
_space_group_name_H-M_alt 'P m m m'
_space_group_IT_number 47
_space_group_name_Hall '-P 2 2'
_cell_length_a 3.4722
_cell_length_b 4.4898
_cell_length_c 4.5057
_cell_angle_alpha 90.00
_cell_angle_beta 90.00
_cell_angle_gamma 90.00
loop_
_atom_site_label
_atom_site_type_symbol
_atom_site_fract_x
_atom_site_fract_y
_atom_site_fract_z
_atom_site_occupancy
Ta1 Ta 0.0000 0.0000 0.0000 1
Ta2 Ta 0.5000 0.5000 0.0000 1
Sb1 Sb 0.0000 0.5000 0.5000 1
Ru1 Ru 0.5000 0.0000 0.5000 1


3.
# PBE AcZnPt, optimized geometry
# E_tot in eV/atom: -4.496
# Relative energy among the computed polymorphs in meV/atom: 177
# DFT formation energy in eV/atom: -0.688
data_AcZnPt
_chemical_formula_sum 'Ac4 Zn4 Pt4'
_space_group_name_H-M_alt 'F -4 3 m'
_space_group_IT_number 216
_space_group_name_Hall 'F -4 2 3'
_cell_length_a 6.9201
_cell_length_b 6.9201
_cell_length_c 6.9201
_cell_angle_alpha 90.00
_cell_angle_beta 90.00
_cell_angle_gamma 90.00
loop_
_atom_site_label
_atom_site_type_symbol
_atom_site_fract_x
_atom_site_fract_y
_atom_site_fract_z
_atom_site_occupancy
Ac1 Ac 0.0000 0.0000 0.0000 1
Zn1 Zn 0.0000 0.0000 0.5000 1
Pt1 Pt 0.2500 0.2500 0.2500 1


Total magnetization for every record listed, in sequence, given in μB per formula unit: 0.00 0.00 0.00.